Record 1
A relaxed structure of GaRu3, computed with PBE.

Structure (POSCAR):
```
GaRu3
1.0
-1.879 1.879 3.985
1.879 -1.879 3.985
1.879 1.879 -3.985
Ga Ru
1 3
Cartesian
0.000 0.000 0.000
1.879 0.000 1.992
0.000 0.000 3.985
0.000 1.879 1.992
```

energy of formation from the pure elements = -0.0027 eV per atom


Record 2
A relaxed structure of YCo2Se, computed with PBE.

Structure (POSCAR):
```
YCo2Se
1.0
-1.728 2.173 4.463
1.728 -2.173 4.463
1.728 2.173 -4.463
Y Co Se
1 2 1
Cartesian
0.000 0.000 0.000
1.728 0.000 2.383
0.000 2.173 2.081
0.000 0.000 4.463
```

raw formation energy = -0.07 eV per atom


Record 3
A relaxed structure of RbNd2Ni, computed with PBE.

Structure (POSCAR):
```
RbNd2Ni
1.0
2.084 1.203 11.481
-2.084 1.203 11.481
0.000 -2.406 11.481
Rb Nd Ni
1 2 1
Cartesian
0.000 0.000 0.000
0.000 0.000 4.329
0.000 0.000 30.115
0.000 0.000 17.222
```

energy of formation from the pure elements = 0.0588 eV per atom


Record 4
A relaxed structure of La2FeRu2, computed with PBE.

Structure (POSCAR):
```
La2FeRu2
1.0
-2.803 2.803 3.682
2.803 -2.803 3.682
2.803 2.803 -3.682
La Fe Ru
2 1 2
Cartesian
2.803 0.000 1.841
0.000 2.803 1.841
0.000 0.000 0.000
0.000 0.000 2.375
0.000 0.000 4.988
```

energy of formation from the pure elements = 0.2895 eV per atom


Record 5
A relaxed structure of RbBeBi, computed with PBE.

Structure (POSCAR):
```
RbBeBi
1.0
5.026 0.000 0.000
0.000 5.990 0.000
0.000 0.000 15.991
Rb Be Bi
4 4 4
Cartesian
0.981 1.483 2.113
1.533 4.506 10.109
3.494 1.512 13.878
4.046 4.478 5.882
0.289 1.498 8.004
2.224 4.492 0.008
2.802 1.497 7.988
4.737 4.492 15.983
0.972 4.511 13.940
1.541 1.479 5.944
3.485 4.474 2.052
4.054 1.516 10.047
```

energy of formation from the pure elements = 0.0635 eV per atom


Record 6
A relaxed structure of UP2Pd2, computed with PBE.

Structure (POSCAR):
```
UP2Pd2
1.0
4.289 -4.819 0.000
4.289 4.819 0.000
-3.470 0.000 4.493
U P Pd
2 4 4
Cartesian
1.687 3.527 3.370
3.422 -3.527 1.123
3.422 3.328 1.123
1.687 0.793 3.370
3.422 -0.793 1.123
1.687 -3.328 3.370
-0.486 1.247 4.321
1.249 -1.247 2.075
3.860 1.247 2.418
5.595 -1.247 0.172
```

energy of formation from the pure elements = -0.4638 eV per atom